a.
VASP calculation (PBE-GGA) on SrAgCl after structural relaxation.

```
SrAgCl
1.0
0.000 3.671 3.671
3.671 0.000 3.671
3.671 3.671 0.000
Sr Ag Cl
1 1 1
Direct
0.000 0.000 0.000
0.250 0.250 0.250
0.750 0.750 0.750
```

## Properties
space-group type: F-43m (216)
magnetic moment: 0.00 μB/f.u.
density of states at the Fermi level: 0.00 states/eV per cell

b.
VASP calculation (PBE-GGA) on SrAgCl after structural relaxation.

```
SrAgCl
1.0
4.411 0.000 0.000
-2.205 3.820 0.000
0.000 0.000 6.533
Sr Ag Cl
1 1 1
Direct
0.000 0.000 0.000
0.333 0.667 0.311
0.667 0.333 0.782
```

## Properties
space-group type: P3m1 (156)
magnetic moment: 0.00 μB/f.u.
density of states at the Fermi level: 0.00 states/eV per cell

What are the relative energies? In eV/atom: a 0.059; b 0.000.

a.
VASP calculation (PBE-GGA) on SrAgCl after structural relaxation.

```
SrAgCl
1.0
0.000 3.615 3.615
3.615 0.000 3.615
3.615 3.615 0.000
Sr Ag Cl
1 1 1
Direct
0.000 0.000 0.000
0.500 0.500 0.500
0.750 0.750 0.750
```

## Properties
space-group type: F-43m (216)
magnetic moment: 0.00 μB/f.u.

b.
VASP calculation (PBE-GGA) on SrAgCl after structural relaxation.

```
SrAgCl
1.0
13.500 0.000 0.000
0.000 2.166 3.752
0.000 -2.166 3.752
Sr Ag Cl
2 2 2
Direct
0.156 0.000 0.000
0.844 0.000 0.000
0.000 0.334 0.334
0.500 0.015 0.015
0.263 0.333 0.333
0.737 0.333 0.333
```

## Properties
space-group type: Amm2 (38)
magnetic moment: 0.00 μB/f.u.
density of states at the Fermi level: 1.84 states/eV per cell

What are the relative energies? In eV/atom: a 0.046; b 0.000.

a.
VASP calculation (PBE-GGA) on SrAgCl4 after structural relaxation.

```
SrAgCl4
1.0
4.864 0.000 0.000
0.000 9.029 0.000
0.000 0.000 7.600
Sr Ag Cl
2 2 8
Direct
0.250 0.250 0.010
0.750 0.750 0.990
0.250 0.750 0.420
0.750 0.250 0.580
0.250 0.250 0.596
0.250 0.565 0.148
0.250 0.750 0.740
0.250 0.935 0.148
0.750 0.065 0.852
0.750 0.250 0.260
0.750 0.435 0.852
0.750 0.750 0.404
```

## Properties
space-group type: Pmmn (59)
magnetic moment: 0.00 μB/f.u.
density of states at the Fermi level: 1.87 states/eV per cell

b.
VASP calculation (PBE-GGA) on SrAgCl4 after structural relaxation.

```
SrAgCl4
1.0
-3.498 3.498 3.633
3.498 -3.498 3.633
3.498 3.498 -3.633
Sr Ag Cl
1 1 4
Direct
0.000 0.000 0.000
0.250 0.750 0.500
0.000 0.996 0.498
0.004 0.501 0.003
0.498 0.000 0.997
0.499 0.502 0.502
```

## Properties
space-group type: I-4 (82)
magnetic moment: 0.00 μB/f.u.
density of states at the Fermi level: 3.07 states/eV per cell

What are the relative energies? In eV/atom: a 0.000; b 0.019.

a.
VASP calculation (PBE-GGA) on Sr2Ag2Cl7 after structural relaxation.

```
Sr2Ag2Cl7
1.0
4.195 -6.459 0.000
4.195 6.459 0.000
-0.871 0.000 6.853
Sr Ag Cl
2 2 7
Direct
0.183 0.817 0.000
0.817 0.183 0.000
0.239 0.239 0.631
0.761 0.761 0.369
0.060 0.060 0.261
0.085 0.455 0.773
0.455 0.085 0.773
0.500 0.500 0.500
0.545 0.915 0.227
0.915 0.545 0.227
0.940 0.940 0.739
```

## Properties
space-group type: C2/m (12)
magnetic moment: 0.51 μB/f.u.
density of states at the Fermi level: 5.05 states/eV per cell

b.
VASP calculation (PBE-GGA) on Sr2Ag2Cl7 after structural relaxation.

```
Sr2Ag2Cl7
1.0
4.561 -5.303 0.000
4.561 5.303 0.000
0.000 0.000 7.004
Sr Ag Cl
2 2 7
Direct
0.216 0.784 0.000
0.784 0.216 0.000
0.231 0.231 0.500
0.769 0.769 0.500
0.000 0.000 0.259
0.000 0.000 0.741
0.000 0.500 0.255
0.000 0.500 0.745
0.500 0.000 0.255
0.500 0.000 0.745
0.500 0.500 0.500
```

## Properties
space-group type: Cmmm (65)
magnetic moment: 0.00 μB/f.u.
density of states at the Fermi level: 10.74 states/eV per cell

What are the relative energies? In eV/atom: a 0.000; b 0.101.

a.
VASP calculation (PBE-GGA) on Ta3AgCl after structural relaxation.

```
Ta3AgCl
1.0
4.540 0.000 0.000
0.000 4.540 0.000
0.000 0.000 4.540
Ta Ag Cl
3 1 1
Direct
0.000 0.000 0.500
0.000 0.500 0.000
0.500 0.000 0.000
0.500 0.500 0.500
0.000 0.000 0.000
```

## Properties
space-group type: Pm-3m (221)
magnetic moment: 0.00 μB/f.u.
density of states at the Fermi level: 8.32 states/eV per cell

b.
VASP calculation (PBE-GGA) on Ta3AgCl after structural relaxation.

```
Ta3AgCl
1.0
4.976 0.000 0.000
0.000 4.976 0.000
0.000 0.000 4.976
Ta Ag Cl
3 1 1
Direct
0.000 0.000 0.500
0.000 0.500 0.000
0.500 0.000 0.000
0.000 0.000 0.000
0.500 0.500 0.500
```

## Properties
space-group type: Pm-3m (221)
magnetic moment: 0.00 μB/f.u.
density of states at the Fermi level: 5.09 states/eV per cell

What are the relative energies? In eV/atom: a 0.000; b 1.173.

a.
VASP calculation (PBE-GGA) on TaAgCl2 after structural relaxation.

```
TaAgCl2
1.0
5.349 -1.503 0.000
5.349 1.503 0.000
-2.820 0.000 6.653
Ta Ag Cl
1 1 2
Direct
0.000 0.000 0.000
0.732 0.732 0.000
0.397 0.397 0.708
0.552 0.552 0.293
```

## Properties
space-group type: Cm (8)
magnetic moment: 0.00 μB/f.u.
density of states at the Fermi level: 2.72 states/eV per cell

b.
VASP calculation (PBE-GGA) on TaAgCl2 after structural relaxation.

```
TaAgCl2
1.0
1.620 0.936 8.777
-1.620 0.936 8.777
0.000 -1.871 8.777
Ta Ag Cl
1 1 2
Direct
0.000 0.000 0.000
0.750 0.750 0.750
0.269 0.269 0.269
0.486 0.486 0.486
```

## Properties
space-group type: R3m (160)
magnetic moment: 0.00 μB/f.u.
density of states at the Fermi level: 2.42 states/eV per cell

What are the relative energies? In eV/atom: a 0.000; b 0.031.

a.
VASP calculation (PBE-GGA) on TaAgCl2 after structural relaxation.

```
TaAgCl2
1.0
0.000 3.265 3.265
3.265 0.000 3.265
3.265 3.265 0.000
Ta Ag Cl
1 1 2
Direct
0.000 0.000 0.000
0.500 0.500 0.500
0.250 0.250 0.250
0.750 0.750 0.750
```

## Properties
space-group type: Fm-3m (225)
magnetic moment: 0.00 μB/f.u.
density of states at the Fermi level: 2.41 states/eV per cell

b.
VASP calculation (PBE-GGA) on TaAgCl2 after structural relaxation.

```
TaAgCl2
1.0
-2.111 2.111 3.951
2.111 -2.111 3.951
2.111 2.111 -3.951
Ta Ag Cl
1 1 2
Direct
0.000 0.000 0.000
0.500 0.500 0.000
0.250 0.750 0.500
0.750 0.250 0.500
```

## Properties
space-group type: I4/mmm (139)
magnetic moment: 0.00 μB/f.u.
density of states at the Fermi level: 2.28 states/eV per cell

c.
VASP calculation (PBE-GGA) on TaAgCl2 after structural relaxation.

```
TaAgCl2
1.0
0.000 3.381 3.381
3.381 0.000 3.381
3.381 3.381 0.000
Ta Ag Cl
1 1 2
Direct
0.000 0.000 0.000
0.250 0.250 0.250
0.500 0.500 0.500
0.750 0.750 0.750
```

## Properties
space-group type: F-43m (216)
magnetic moment: 1.90 μB/f.u.
density of states at the Fermi level: 2.64 states/eV per cell

d.
VASP calculation (PBE-GGA) on TaAgCl2 after structural relaxation.

```
TaAgCl2
1.0
-1.482 2.563 6.783
1.482 -2.563 6.783
1.482 2.563 -6.783
Ta Ag Cl
1 1 2
Direct
0.000 0.000 0.000
0.500 0.500 0.000
0.148 0.648 0.500
0.852 0.352 0.500
```

## Properties
space-group type: Immm (71)
magnetic moment: 0.00 μB/f.u.
density of states at the Fermi level: 1.24 states/eV per cell

What are the relative energies? In eV/atom: a 0.910; b 0.832; c 1.125; d 0.000.

a.
VASP calculation (PBE-GGA) on TaAgCl2 after structural relaxation.

```
TaAgCl2
1.0
3.008 0.000 0.000
0.000 3.008 0.000
0.000 0.000 10.157
Ta Ag Cl
1 1 2
Direct
0.000 0.000 0.000
0.000 0.000 0.500
0.500 0.500 0.152
0.500 0.500 0.848
```

## Properties
space-group type: P4/mmm (123)
magnetic moment: 0.00 μB/f.u.
density of states at the Fermi level: 1.81 states/eV per cell

b.
VASP calculation (PBE-GGA) on TaAgCl2 after structural relaxation.

```
TaAgCl2
1.0
3.090 -4.222 0.000
3.090 4.222 0.000
-0.051 0.000 3.005
Ta Ag Cl
1 1 2
Direct
0.000 0.000 0.000
0.500 0.500 0.000
0.000 0.500 0.000
0.500 0.000 0.000
```

## Properties
space-group type: C2/m (12)
magnetic moment: 0.00 μB/f.u.
density of states at the Fermi level: 1.84 states/eV per cell

What are the relative energies? In eV/atom: a 0.000; b 0.269.

a.
VASP calculation (PBE-GGA) on TaAgCl2 after structural relaxation.

```
TaAgCl2
1.0
3.013 0.000 0.000
0.000 4.386 0.000
0.000 0.000 5.734
Ta Ag Cl
1 1 2
Direct
0.000 0.000 0.000
0.500 0.000 0.500
0.000 0.500 0.500
0.500 0.500 0.000
```

## Properties
space-group type: Pmmm (47)
magnetic moment: 0.73 μB/f.u.
density of states at the Fermi level: 3.00 states/eV per cell

b.
VASP calculation (PBE-GGA) on TaAgCl2 after structural relaxation.

```
TaAgCl2
1.0
4.883 0.000 0.000
0.000 4.883 0.000
0.000 0.000 3.136
Ta Ag Cl
1 1 2
Direct
0.000 0.000 0.000
0.500 0.500 0.000
0.000 0.500 0.500
0.500 0.000 0.500
```

## Properties
space-group type: P4/mmm (123)
magnetic moment: 2.00 μB/f.u.
density of states at the Fermi level: 3.25 states/eV per cell

What are the relative energies? In eV/atom: a 0.000; b 0.140.

a.
VASP calculation (PBE-GGA) on TaAg2Cl2 after structural relaxation.

```
TaAg2Cl2
1.0
-2.139 2.139 5.863
2.139 -2.139 5.863
2.139 2.139 -5.863
Ta Ag Cl
1 2 2
Direct
0.000 0.000 0.000
0.389 0.389 0.000
0.611 0.611 0.000
0.250 0.750 0.500
0.750 0.250 0.500
```

## Properties
space-group type: I4/mmm (139)
magnetic moment: 3.00 μB/f.u.
density of states at the Fermi level: 4.94 states/eV per cell

b.
VASP calculation (PBE-GGA) on TaAg2Cl2 after structural relaxation.

```
TaAg2Cl2
1.0
8.133 0.000 0.000
0.000 8.133 0.000
0.000 0.000 3.144
Ta Ag Cl
2 4 4
Direct
0.000 0.000 0.000
0.500 0.500 0.000
0.134 0.366 0.000
0.366 0.866 0.000
0.634 0.134 0.000
0.866 0.634 0.000
0.164 0.664 0.500
0.336 0.164 0.500
0.664 0.836 0.500
0.836 0.336 0.500
```

## Properties
space-group type: P4/mbm (127)
magnetic moment: 2.95 μB/f.u.
density of states at the Fermi level: 5.43 states/eV per cell

What are the relative energies? In eV/atom: a 0.038; b 0.000.

a.
VASP calculation (PBE-GGA) on TaAgCl6 after structural relaxation.

```
TaAgCl6
1.0
3.283 -5.999 0.000
3.283 5.999 0.000
-1.967 0.000 6.144
Ta Ag Cl
1 1 6
Direct
0.000 0.000 0.000
0.500 0.500 0.500
0.068 0.351 0.226
0.234 0.234 0.786
0.351 0.068 0.226
0.649 0.932 0.774
0.766 0.766 0.214
0.932 0.649 0.774
```

## Properties
space-group type: C2/m (12)
magnetic moment: 0.00 μB/f.u.

b.
VASP calculation (PBE-GGA) on TaAgCl6 after structural relaxation.

```
TaAgCl6
1.0
6.485 0.000 0.000
-3.239 5.637 0.000
-0.011 -3.731 5.864
Ta Ag Cl
1 1 6
Direct
0.000 0.000 0.000
0.500 0.000 0.500
0.076 0.855 0.233
0.221 0.843 0.767
0.377 0.451 0.232
0.623 0.549 0.768
0.779 0.157 0.233
0.924 0.145 0.767
```

## Properties
space-group type: P-1 (2)
magnetic moment: 0.00 μB/f.u.
density of states at the Fermi level: 0.00 states/eV per cell

What are the relative energies? In eV/atom: a 0.011; b 0.000.